No. 1
A plane-wave DFT calculation with GGA-PBE was carried out for a relaxed structure of Fe2AuBr.

Formation energy from raw total energies (eV/atom): 0.36
Size of the total moment (μB/cell): 6.31

```
4
Lattice="6.433 -0.017 0.012 4.243 4.836 -0.012 -4.991 -3.177 2.525" Properties=species:S:1:pos:R:3 pbc="T T T"
Fe 0.037 0.017 0.000
Br 1.684 1.758 1.257
Au 4.929 2.225 0.000
Fe 4.373 0.051 1.269
```

=====

No. 2
A plane-wave DFT calculation with GGA-PBE was carried out for a relaxed structure of LaOsRu2O8.

Formation energy from raw total energies (eV/atom): -1.41
Size of the total moment (μB/cell): 1.22

```
12
Lattice="-1.762 3.376 2.896 -4.450 -0.823 -1.545 -0.805 -4.439 4.684" Properties=species:S:1:pos:R:3 pbc="T T T"
O -2.491 1.577 2.947
O -1.818 0.749 0.397
O -2.476 -1.366 2.794
Ru -3.718 -2.097 4.235
O -4.056 -0.873 0.356
Os 0.000 0.000 0.000
Ru -3.299 0.211 1.800
O -5.199 -2.634 5.638
O -4.526 -3.463 3.089
O -2.961 -1.013 5.680
La -0.403 -2.219 2.342
O -4.540 -0.519 3.242
```

=====

No. 3
A plane-wave DFT calculation with GGA-PBE was carried out for a relaxed structure of CsErBiBr6.

Formation energy from raw total energies (eV/atom): -1.38
Size of the total moment (μB/cell): 1.00

```
9
Lattice="-0.671 -7.178 -2.362 6.277 -2.695 -3.280 3.060 -2.222 6.922" Properties=species:S:1:pos:R:3 pbc="T T T"
Br 4.664 -5.053 -0.908
Br 7.854 -6.906 0.631
Er 5.323 -7.791 -0.355
Br 2.786 -8.665 -1.339
Cs 3.153 -2.384 6.827
Bi 3.377 -4.360 1.601
Br 4.052 -7.133 2.132
Br 5.776 -10.247 0.653
Br 6.345 -7.935 -2.842
```

=====

No. 4
A plane-wave DFT calculation with GGA-PBE was carried out for a relaxed structure of Dy4MnS7.

Formation energy from raw total energies (eV/atom): -1.80
Size of the total moment (μB/cell): 5.00

```
12
Lattice="6.554 0.002 0.025 5.446 3.647 0.025 2.847 0.866 11.072" Properties=species:S:1:pos:R:3 pbc="T T T"
Dy 8.870 2.697 2.371
S 10.590 3.220 10.545
S 1.035 0.315 2.494
S 4.264 1.296 3.920
Dy 3.005 0.914 6.275
S 4.173 1.269 0.605
S 13.770 4.187 8.729
Dy 11.976 3.641 0.123
S 10.781 3.278 7.119
Dy 5.939 1.806 8.928
S 7.430 2.259 5.400
Mn 11.833 3.598 4.716
```